# PuFeO4

Crystalline PuFeO4 at its relaxed geometry (GGA+U, the Alexandria database).

```
PuFeO4
1.0
5.208 0.000 0.000
0.000 4.947 0.000
0.000 0.000 5.942
Pu Fe O
2 2 8
Cartesian
0.000 0.000 0.000
0.000 2.473 2.971
2.604 0.000 3.982
2.604 2.473 1.011
0.988 1.074 4.328
0.988 1.399 1.357
1.693 3.642 2.737
1.693 3.778 5.708
3.514 1.169 5.708
3.514 1.304 2.737
4.220 3.548 1.357
4.220 3.873 4.328
```

Its space group is Pnc2, No. 30. The calculated density comes out at 7.9 g/cm³. The total energy comes out at -105.61 eV per cell.